(1)
# PuFe4Co (PBE-GGA, relaxed)
data_PuFe4Co
_chemical_formula_sum 'Pu4 Fe16 Co4'
_symmetry_space_group_name_H-M 'F -4 3 m'
_symmetry_Int_Tables_number 216
_symmetry_space_group_name_Hall 'F -4 2 3'
_cell_length_a 6.929
_cell_length_b 6.929
_cell_length_c 6.929
_cell_angle_alpha 90.00
_cell_angle_beta 90.00
_cell_angle_gamma 90.00
loop_
_atom_site_label
_atom_site_fract_x
_atom_site_fract_y
_atom_site_fract_z
Pu1 0.000 0.000 0.000
Fe1 0.124 0.124 0.376
Co1 0.250 0.250 0.750
# Formation energy = 0.08 eV per atom
# Uncorrected energy = -9.131 eV per atom
# DOS at the Fermi energy = 53.1 states/eV per cell

---

(2)
# CaMg7Sn4 (PBE-GGA, relaxed)
data_CaMg7Sn4
_chemical_formula_sum 'Ca2 Mg14 Sn8'
_symmetry_space_group_name_H-M 'C 1 2/m 1'
_symmetry_Int_Tables_number 12
_symmetry_space_group_name_Hall '-C 2y'
_cell_length_a 12.550
_cell_length_b 5.714
_cell_length_c 10.709
_cell_angle_alpha 90.00
_cell_angle_beta 124.08
_cell_angle_gamma 90.00
loop_
_atom_site_label
_atom_site_fract_x
_atom_site_fract_y
_atom_site_fract_z
Ca1 0.000 0.000 0.000
Mg1 0.000 0.500 0.000
Mg2 0.083 0.000 0.421
Mg3 0.183 0.500 0.901
Mg4 0.195 0.500 0.634
Sn1 0.101 0.500 0.317
Sn2 0.205 0.000 0.773
# Formation energy = -0.01 eV per atom
# Uncorrected energy = -2.436 eV per atom
# DOS at the Fermi energy = 11.7 states/eV per cell

---

(3)
# CrCo2HAu (PBE-GGA, relaxed)
data_CrCo2HAu
_chemical_formula_sum 'Cr1 Co2 H1 Au1'
_symmetry_space_group_name_H-M 'P 4/m m m'
_symmetry_Int_Tables_number 123
_symmetry_space_group_name_Hall '-P 4 2'
_cell_length_a 3.764
_cell_length_b 3.764
_cell_length_c 3.780
_cell_angle_alpha 90.00
_cell_angle_beta 90.00
_cell_angle_gamma 90.00
loop_
_atom_site_label
_atom_site_fract_x
_atom_site_fract_y
_atom_site_fract_z
Cr1 0.000 0.000 0.000
Co1 0.000 0.500 0.500
H1 0.000 0.000 0.500
Au1 0.500 0.500 0.000
# Uncorrected energy = -5.936 eV per atom
# DOS at the Fermi energy = 5.5 states/eV per cell

---

(4)
# Er6Hg3N (PBE-GGA, relaxed)
data_Er6Hg3N
_chemical_formula_sum 'Er12 Hg6 N2'
_symmetry_space_group_name_H-M 'P 1 21/c 1'
_symmetry_Int_Tables_number 14
_symmetry_space_group_name_Hall '-P 2ybc'
_cell_length_a 6.485
_cell_length_b 7.838
_cell_length_c 11.418
_cell_angle_alpha 90.00
_cell_angle_beta 119.93
_cell_angle_gamma 90.00
loop_
_atom_site_label
_atom_site_fract_x
_atom_site_fract_y
_atom_site_fract_z
Er1 0.073 0.049 0.224
Er2 0.184 0.719 0.065
Er3 0.369 0.145 0.052
Hg1 0.316 0.114 0.740
Hg2 0.500 0.000 0.500
N1 0.000 0.000 0.000
# Formation energy without anion corrections = -5.46 eV per formula unit
# Uncorrected energy = -4.207 eV per atom
# DOS at the Fermi energy = 22.1 states/eV per cell

---

(5)
# Ac2YThP4 (PBE-GGA, relaxed)
data_Ac2YThP4
_chemical_formula_sum 'Ac2 Y1 Th1 P4'
_symmetry_space_group_name_H-M 'P 1 2/m 1'
_symmetry_Int_Tables_number 10
_symmetry_space_group_name_Hall '-P 2y'
_cell_length_a 7.333
_cell_length_b 4.251
_cell_length_c 7.421
_cell_angle_alpha 90.00
_cell_angle_beta 109.30
_cell_angle_gamma 90.00
loop_
_atom_site_label
_atom_site_fract_x
_atom_site_fract_y
_atom_site_fract_z
Ac1 0.000 0.000 0.000
Ac2 0.500 0.500 0.000
Y1 0.000 0.500 0.500
Th1 0.500 0.000 0.500
P1 0.242 0.000 0.728
P2 0.256 0.500 0.272
# Formation energy = -1.52 eV per atom
# Uncorrected energy = -6.989 eV per atom
# DOS at the Fermi energy = 1.8 states/eV per cell

---

(6)
# Mn2MoPt (PBE-GGA, relaxed)
data_Mn2MoPt
_chemical_formula_sum 'Mn8 Mo4 Pt4'
_symmetry_space_group_name_H-M 'I -4 2 d'
_symmetry_Int_Tables_number 122
_symmetry_space_group_name_Hall 'I -4 2bw'
_cell_length_a 3.811
_cell_length_b 3.811
_cell_length_c 17.452
_cell_angle_alpha 90.00
_cell_angle_beta 90.00
_cell_angle_gamma 90.00
loop_
_atom_site_label
_atom_site_fract_x
_atom_site_fract_y
_atom_site_fract_z
Mn1 0.247 0.250 0.125
Mo1 0.000 0.000 0.000
Pt1 0.000 0.000 0.500
# Formation energy = 0.46 eV per atom
# Uncorrected energy = -8.341 eV per atom
# DOS at the Fermi energy = 16.7 states/eV per cell

---

(7)
# Pm3HgRh (PBE-GGA, relaxed)
data_Pm3HgRh
_chemical_formula_sum 'Pm6 Hg2 Rh2'
_symmetry_space_group_name_H-M 'P -1'
_symmetry_Int_Tables_number 2
_symmetry_space_group_name_Hall '-P 1'
_cell_length_a 5.025
_cell_length_b 8.004
_cell_length_c 8.358
_cell_angle_alpha 66.02
_cell_angle_beta 72.83
_cell_angle_gamma 71.73
loop_
_atom_site_label
_atom_site_fract_x
_atom_site_fract_y
_atom_site_fract_z
Pm1 0.080 0.069 0.275
Pm2 0.246 0.277 0.727
Pm3 0.414 0.403 0.273
Hg1 0.337 0.839 0.986
Rh1 0.158 0.678 0.506
# Formation energy = -0.42 eV per atom
# Uncorrected energy = -4.802 eV per atom
# DOS at the Fermi energy = 10.2 states/eV per cell

---

Number 1: M_tot 23.82 μB/cell. Number 2: M_tot 0.00 μB/cell. Number 3: M_tot 4.28 μB/cell. Number 4: M_tot 0.39 μB/cell. Number 5: M_tot 0.00 μB/cell. Number 6: M_tot 20.79 μB/cell. Number 7: M_tot 0.00 μB/cell.